[1]
This record from OQMD via LeMat-Bulk describes crystalline LiCuGeS3 at its relaxed geometry. The functional is PBE-GGA.

a = 6.137 Å, b = 6.137 Å, c = 10.009 Å
α = 90.00°, β = 90.00°, γ = 146.61°
Sites, in units of the cell vectors:
Li 0.217 0.783 0.750
Li 0.783 0.217 0.250
Cu 0.070 0.930 0.250
Cu 0.930 0.070 0.750
Ge 0.500 0.500 0.000
Ge 0.500 0.500 0.500
S 0.139 0.861 0.044
S 0.139 0.861 0.456
S 0.436 0.564 0.250
S 0.564 0.436 0.750
S 0.861 0.139 0.544
S 0.861 0.139 0.956

For the final energy, the calculation gives -4.142 eV/atom. As for the space group: Cmcm, No. 63. The density comes out at 3.8 g cm⁻³.



[2]
This record from OQMD via LeMat-Bulk describes crystalline LiCuGeTeS2 at its relaxed geometry. The functional is PBE-GGA.

a = 6.755 Å, b = 6.755 Å, c = 10.850 Å
α = 90.00°, β = 90.00°, γ = 150.54°
Sites, in units of the cell vectors:
Li 0.222 0.778 0.750
Li 0.778 0.222 0.250
Cu 0.435 0.565 0.250
Cu 0.565 0.435 0.750
Ge 0.000 0.000 0.000
Ge 0.000 0.000 0.500
Te 0.095 0.905 0.250
Te 0.905 0.095 0.750
S 0.373 0.627 0.061
S 0.373 0.627 0.439
S 0.627 0.373 0.561
S 0.627 0.373 0.939

For the final energy, the calculation gives -3.918 eV/atom. As for the space group: Cmcm, No. 63. The density comes out at 4.6 g cm⁻³.



[3]
This record from OQMD via LeMat-Bulk describes crystalline Li4Cu2GeSb at its relaxed geometry. The functional is PBE-GGA.

a = 4.305 Å, b = 4.305 Å, c = 6.189 Å
α = 90.00°, β = 90.00°, γ = 90.00°
Sites, in units of the cell vectors:
Li 0.000 0.000 0.000
Li 0.000 0.500 0.730
Li 0.500 0.000 0.270
Li 0.500 0.500 0.500
Cu 0.000 0.500 0.272
Cu 0.500 0.000 0.728
Ge 0.000 0.000 0.500
Sb 0.500 0.500 0.000

For the final energy, the calculation gives -3.354 eV/atom. As for the space group: P-4m2, No. 115. The density comes out at 5.1 g cm⁻³.



[4]
This record from OQMD via LeMat-Bulk describes crystalline LiScCuGe at its relaxed geometry. The functional is PBE-GGA.

a = 6.329 Å, b = 6.329 Å, c = 6.329 Å
α = 90.00°, β = 90.00°, γ = 90.00°
Sites, in units of the cell vectors:
Li 0.000 0.000 0.000
Li 0.000 0.500 0.500
Li 0.500 0.000 0.500
Li 0.500 0.500 0.000
Sc 0.000 0.000 0.500
Sc 0.000 0.500 0.000
Sc 0.500 0.000 0.000
Sc 0.500 0.500 0.500
Cu 0.250 0.250 0.250
Cu 0.250 0.750 0.750
Cu 0.750 0.250 0.750
Cu 0.750 0.750 0.250
Ge 0.250 0.250 0.750
Ge 0.250 0.750 0.250
Ge 0.750 0.250 0.250
Ge 0.750 0.750 0.750

Its energy above the most stable polymorph in this dataset is 0.000 eV/atom. For the final energy, the calculation gives -4.557 eV/atom. As for the space group: F-43m, No. 216. The density comes out at 4.9 g cm⁻³. The magnetic moment is 0.0 μB/f.u.



[5]
This record from OQMD via LeMat-Bulk describes crystalline LiScCuGe at its relaxed geometry. The functional is PBE-GGA.

a = 6.191 Å, b = 6.191 Å, c = 6.191 Å
α = 90.00°, β = 90.00°, γ = 90.00°
Sites, in units of the cell vectors:
Li 0.000 0.000 0.000
Li 0.000 0.500 0.500
Li 0.500 0.000 0.500
Li 0.500 0.500 0.000
Sc 0.250 0.250 0.250
Sc 0.250 0.750 0.750
Sc 0.750 0.250 0.750
Sc 0.750 0.750 0.250
Cu 0.000 0.000 0.500
Cu 0.000 0.500 0.000
Cu 0.500 0.000 0.000
Cu 0.500 0.500 0.500
Ge 0.250 0.250 0.750
Ge 0.250 0.750 0.250
Ge 0.750 0.250 0.250
Ge 0.750 0.750 0.750

Its energy above the most stable polymorph in this dataset is 0.065 eV/atom. For the final energy, the calculation gives -4.492 eV/atom. As for the space group: F-43m, No. 216. The density comes out at 5.3 g cm⁻³. The magnetic moment is 0.0 μB/f.u.



[6]
This record from OQMD via LeMat-Bulk describes crystalline LiScCuGe at its relaxed geometry. The functional is PBE-GGA.

a = 6.238 Å, b = 6.238 Å, c = 6.238 Å
α = 90.00°, β = 90.00°, γ = 90.00°
Sites, in units of the cell vectors:
Li 0.000 0.000 0.000
Li 0.000 0.500 0.500
Li 0.500 0.000 0.500
Li 0.500 0.500 0.000
Sc 0.250 0.250 0.250
Sc 0.250 0.750 0.750
Sc 0.750 0.250 0.750
Sc 0.750 0.750 0.250
Cu 0.250 0.250 0.750
Cu 0.250 0.750 0.250
Cu 0.750 0.250 0.250
Cu 0.750 0.750 0.750
Ge 0.000 0.000 0.500
Ge 0.000 0.500 0.000
Ge 0.500 0.000 0.000
Ge 0.500 0.500 0.500

Its energy above the most stable polymorph in this dataset is 0.107 eV/atom. For the final energy, the calculation gives -4.450 eV/atom. As for the space group: F-43m, No. 216. The density comes out at 5.1 g cm⁻³. The magnetic moment is 0.0 μB/f.u.



[7]
This record from OQMD via LeMat-Bulk describes crystalline LiScCu4Ge2 at its relaxed geometry. The functional is PBE-GGA.

a = 4.215 Å, b = 4.215 Å, c = 6.237 Å
α = 90.00°, β = 90.00°, γ = 90.00°
Sites, in units of the cell vectors:
Li 0.000 0.000 0.000
Sc 0.500 0.500 0.500
Cu 0.000 0.500 0.225
Cu 0.000 0.500 0.775
Cu 0.500 0.000 0.225
Cu 0.500 0.000 0.775
Ge 0.000 0.000 0.500
Ge 0.500 0.500 0.000

For the final energy, the calculation gives -4.303 eV/atom. As for the space group: P4/mmm, No. 123. The density comes out at 6.8 g cm⁻³. The magnetic moment is 0.0 μB/f.u.



[8]
This record from OQMD via LeMat-Bulk describes crystalline LiCu3GeSe4 at its relaxed geometry. The functional is PBE-GGA.

a = 5.765 Å, b = 5.765 Å, c = 5.765 Å
α = 90.00°, β = 90.00°, γ = 90.00°
Sites, in units of the cell vectors:
Li 0.000 0.000 0.000
Cu 0.000 0.500 0.500
Cu 0.500 0.000 0.500
Cu 0.500 0.500 0.000
Ge 0.500 0.500 0.500
Se 0.251 0.251 0.251
Se 0.251 0.749 0.749
Se 0.749 0.251 0.749
Se 0.749 0.749 0.251

For the final energy, the calculation gives -3.728 eV/atom. As for the space group: P-43m, No. 215. The density comes out at 5.1 g cm⁻³.